Record 1
Bi | meta-GGA SCAN | PBEsol geometry

Cell: 6.5732 6.5732 6.5389 Å, 90.00 90.00 60.90°
With the nearest neighbours (Å) after each atom.
Sites, in units of the cell vectors:
Bi 0.1826 0.8174 0.8350  9 Bi 3.25-3.51
Bi 0.2068 0.2068 0.5000  10 Bi 3.34-3.70
Bi 0.2932 0.2932 0.0000  10 Bi 3.34-3.70
Bi 0.3174 0.6826 0.3350  9 Bi 3.25-3.51
Bi 0.6826 0.3174 0.6650  9 Bi 3.25-3.51
Bi 0.7068 0.7068 0.0000  10 Bi 3.34-3.70
Bi 0.7932 0.7932 0.5000  10 Bi 3.34-3.70
Bi 0.8174 0.1826 0.1650  9 Bi 3.25-3.51

Calculated values
For the total energy, the calculation gives -78.4357 eV/atom. Its energy above the most stable polymorph in this dataset is 144 meV per atom. The formation energy comes out at 0.144 eV/atom.

Record 2
Fe2SiSb | meta-GGA SCAN | PBEsol geometry

Cell: 4.1167 4.1167 3.0157 Å, 90.00 90.00 90.00°
With the nearest neighbours (Å) after each atom.
Sites, in units of the cell vectors:
Fe 0.0000 0.5000 0.0000  4 Sb 2.55, 4 Si 2.55
Fe 0.5000 0.0000 0.0000  4 Sb 2.55, 4 Si 2.55
Si 0.0000 0.0000 0.5000  8 Fe 2.55
Sb 0.5000 0.5000 0.5000  8 Fe 2.55

Calculated values
For the total energy, the calculation gives -20.5619 eV/atom.

Record 3
SrZrPt2 | meta-GGA SCAN | PBEsol geometry

Cell: 5.1075 5.1075 3.0602 Å, 90.00 90.00 90.00°
With the nearest neighbours (Å) after each atom.
Sites, in units of the cell vectors:
Sr 0.0000 0.0000 0.0000  8 Pt 2.98, 2 Sr 3.06
Zr 0.5000 0.5000 0.0000  8 Pt 2.98, 2 Zr 3.06
Pt 0.0000 0.5000 0.5000  4 Zr 2.98, 4 Sr 2.98, 2 Pt 3.06
Pt 0.5000 0.0000 0.5000  4 Zr 2.98, 4 Sr 2.98, 2 Pt 3.06

Calculated values
For the total energy, the calculation gives -49.1899 eV/atom. Its energy above the most stable polymorph in this dataset is 250 meV per atom. The formation energy comes out at -0.850 eV/atom.

Among the records above, which one has the lowest total energy? Bi